Entry 1:
The following is a DFT calculation (GGA-PBE) of an optimized crystal structure of CaPaHgI6.

a = 7.8677 Å, b = 7.8677 Å, c = 19.5644 Å
α = 90.00°, β = 90.00°, γ = 120.00°
Last column: magnetic moment on the atom in μB.
Sites, in units of the cell vectors:
Ca: 0.3333 0.6667 0.2500  0.00
Ca: 0.6667 0.3333 0.7500  0.00
Pa: 0.6667 0.3333 0.2500  1.09
Pa: 0.3333 0.6667 0.7500  1.09
Hg: 0.0000 0.0000 0.0000  0.00
Hg: 0.0000 0.0000 0.5000  0.00
I: 0.6488 0.6386 0.1589  -0.02
I: 0.9898 0.3512 0.1589  -0.02
I: 0.3512 0.9898 0.6589  -0.02
I: 0.0102 0.6488 0.8411  -0.02
I: 0.3614 0.3512 0.3411  -0.02
I: 0.9898 0.6386 0.3411  -0.02
I: 0.6386 0.9898 0.8411  -0.02
I: 0.6488 0.0102 0.3411  -0.02
I: 0.0102 0.3614 0.6589  -0.02
I: 0.3614 0.0102 0.1589  -0.02
I: 0.6386 0.6488 0.6589  -0.02
I: 0.3512 0.3614 0.8411  -0.02

* E_form (uncorrected): -1.0638 eV per atom
* symmetry: P-31c (163)
* E: -3.41 eV/atom
* crystal system: trigonal
* total moment: 1.007 μB/f.u.

=====

Entry 2:
The following is a DFT calculation (GGA-PBE) of an optimized crystal structure of ScTiCrH.

a = 3.0089 Å, b = 4.1857 Å, c = 4.4686 Å
α = 68.45°, β = 87.12°, γ = 87.68°
Sites, in units of the cell vectors:
Sc: 0.2713 0.3020 0.9772
Ti: 0.6972 0.9522 0.6031
Cr: 0.9395 0.6319 0.3366
H: 0.1576 0.8274 0.9223

* symmetry: P1 (1)
* E: -6.79 eV/atom
* crystal system: triclinic
* total moment: 0.000 μB/f.u.

=====

Entry 3:
The following is a DFT calculation (GGA-PBE) of an optimized crystal structure of Ba2Ga2Bi2Sb.

a = 4.3976 Å, b = 6.9139 Å, c = 8.7955 Å
α = 71.96°, β = 90.02°, γ = 71.48°
Sites, in units of the cell vectors:
Ba: 0.4983 0.0030 0.7135
Ba: 0.5017 0.9970 0.2865
Ga: 0.7803 0.4411 0.9048
Ga: 0.2197 0.5589 0.0952
Bi: 0.7831 0.4324 0.3813
Bi: 0.2169 0.5676 0.6187
Sb: 0.0000 0.0000 0.0000

* E_form (uncorrected): -0.4470 eV per atom
* symmetry: C2/m (12)
* E: -3.56 eV/atom
* crystal system: monoclinic
* total moment: 0.000 μB/f.u.

=====

Entry 4:
The following is a DFT calculation (GGA-PBE) of an optimized crystal structure of CaSmAl.

a = 3.5862 Å, b = 5.2358 Å, c = 5.2358 Å
α = 120.00°, β = 90.00°, γ = 90.00°
Sites, in units of the cell vectors:
Ca: 0.9534 0.0000 0.0000
Al: 0.6747 0.6667 0.3333
Sm: 0.3720 0.3333 0.6667

* symmetry: P3m1 (156)
* E: -3.54 eV/atom
* crystal system: trigonal
* ΔE_f: -0.052 eV per atom
* total moment: 0.000 μB/f.u.

=====

Entry 5:
The following is a DFT calculation (GGA-PBE) of an optimized crystal structure of LiTaO2.

a = 2.7027 Å, b = 2.7027 Å, c = 5.4543 Å
α = 90.00°, β = 90.00°, γ = 90.00°
Last column: magnetic moment on the atom in μB.
Sites, in units of the cell vectors:
Li: 0.5000 0.5000 0.5000  0.01
O: 0.0000 0.0000 0.7766  0.01
O: 0.0000 0.0000 0.2234  0.01
Ta: 0.5000 0.5000 0.0000  0.17

* E_form (uncorrected): -1.7491 eV per atom
* symmetry: P4/mmm (123)
* E: -7.67 eV/atom
* crystal system: tetragonal
* total moment: 0.257 μB/f.u.

=====

Entry 6:
The following is a DFT calculation (GGA-PBE) of an optimized crystal structure of LaPm2NdSm6.

a = 9.9582 Å, b = 8.9694 Å, c = 8.9694 Å
α = 118.23°, β = 94.56°, γ = 94.56°
Sites, in units of the cell vectors:
La: 0.2500 0.4045 0.5955
La: 0.7500 0.5955 0.4045
Pm: 0.4580 0.8103 0.7092
Pm: 0.0420 0.2908 0.1897
Pm: 0.5420 0.1897 0.2908
Pm: 0.9580 0.7092 0.8103
Nd: 0.2500 0.9792 0.0208
Nd: 0.7500 0.0208 0.9792
Sm: 0.0561 0.1177 0.7458
Sm: 0.4439 0.2542 0.8823
Sm: 0.9439 0.8823 0.2542
Sm: 0.5561 0.7458 0.1177
Sm: 0.3187 0.9729 0.4267
Sm: 0.1813 0.5733 0.0271
Sm: 0.6813 0.0271 0.5733
Sm: 0.8187 0.4267 0.9729
Sm: 0.1220 0.7046 0.4958
Sm: 0.3780 0.5042 0.2954
Sm: 0.8780 0.2954 0.5042
Sm: 0.6220 0.4958 0.7046

* symmetry: C2/c (15)
* E: -4.63 eV/atom
* crystal system: monoclinic
* ΔE_f: 0.118 eV per atom
* total moment: 0.000 μB/f.u.